An optimized crystal structure of Y2IrRuPb, computed with PBE.

Computed properties:
E_form (eV per atom): 0.31
Crystal system: tetragonal

Unit cell a=5.164 b=5.164 c=5.049 alpha=90.00 beta=90.00 gamma=90.00
Fractional coordinates of all 5 atoms:
Y1 0.000 0.500 0.000
Y2 0.500 0.000 0.000
Ir1 0.000 0.000 0.500
Ru1 0.500 0.500 0.000
Pb1 0.500 0.500 0.500